1.
TaCoB2 | PBE-GGA | relaxed

```
TaCoB2
1.0
-0.258 -2.563 -2.523
3.583 -0.403 0.043
1.074 -6.186 3.599
B Co Ta
4 2 2
direct
0.375 0.125 0.250 B
0.375 0.625 0.250 B
0.375 0.625 0.750 B
0.875 0.625 0.750 B
0.500 0.500 0.000 Co
0.250 0.750 0.500 Co
0.000 0.000 0.000 Ta
0.750 0.250 0.500 Ta
```

- formation energy (eV/f.u.) = 0.26


2.
Pm5SmPb6 | PBE-GGA | relaxed

```
Pm5SmPb6
1.0
9.582 -0.050 0.000
2.600 5.310 0.000
1.300 2.655 7.335
Pm Sm Pb
5 1 6
direct
0.500 0.167 0.666 Pm
0.000 0.334 0.332 Pm
0.500 0.500 0.000 Pm
0.000 0.666 0.668 Pm
0.500 0.833 0.334 Pm
0.000 0.000 0.000 Sm
0.751 0.083 0.333 Pb
0.249 0.585 0.333 Pb
0.250 0.247 0.000 Pb
0.750 0.753 0.000 Pb
0.751 0.415 0.667 Pb
0.249 0.917 0.667 Pb
```

- formation energy (eV/f.u.) = -5.88
- E above lowest polymorph (meV per atom) = 13